1.
Cd2CuPb: single point on PBEsol structure, meta-GGA SCAN.

a = 3.210 Å, b = 3.210 Å, c = 8.033 Å
α = 90.00°, β = 90.00°, γ = 90.00°
Fractional positions:
Cu (0.500, 0.500, 0.000)
Cd (0.000, 0.000, 0.191)
Cd (0.000, 0.000, 0.809)
Pb (0.500, 0.500, 0.500)

Computed properties:
Total magnetization, μB/f.u.: 0.0
Total DFT energy (no corrections), eV/atom: -37.838



2.
Ta3CdPt: single point on PBEsol structure, meta-GGA SCAN.

a = 4.846 Å, b = 4.846 Å, c = 4.846 Å
α = 90.00°, β = 90.00°, γ = 90.00°
Fractional positions:
Pt (0.000, 0.000, 0.000)
Ta (0.000, 0.500, 0.000)
Ta (0.500, 0.000, 0.000)
Ta (0.000, 0.000, 0.500)
Cd (0.500, 0.500, 0.500)

Computed properties:
Total magnetization, μB/f.u.: 0.0
ΔE to the lowest computed polymorph, meV per atom: 0.0
Total DFT energy (no corrections), eV/atom: -59.008



3.
K2SrTc: single point on PBEsol structure, meta-GGA SCAN.

a = 3.606 Å, b = 3.605 Å, c = 11.993 Å
α = 90.40°, β = 90.00°, γ = 90.00°
Each line ends with the local moment (μB).
Fractional positions:
K (0.000, 0.008, 0.924)  0.00
K (0.500, 0.489, 0.266)  0.00
Sr (0.000, 0.999, 0.579)  -0.04
Tc (0.500, 0.503, 0.731)  2.51

Computed properties:
Total magnetization, μB/f.u.: 2.6
ΔE to the lowest computed polymorph, meV per atom: 0.0
Total DFT energy (no corrections), eV/atom: -17.613



4.
EuIn4: single point on PBEsol structure, meta-GGA SCAN.

a = 5.018 Å, b = 6.356 Å, c = 9.422 Å
α = 73.22°, β = 74.56°, γ = 66.75°
Each line ends with the local moment (μB).
Fractional positions:
In (0.447, 0.218, 0.889)  -0.02
In (0.836, 0.284, 0.044)  -0.01
In (0.164, 0.716, 0.956)  -0.01
In (0.414, 0.738, 0.435)  -0.03
In (0.145, 0.042, 0.667)  -0.02
In (0.586, 0.262, 0.565)  -0.03
In (0.553, 0.782, 0.111)  -0.02
In (0.855, 0.958, 0.333)  -0.02
Eu (0.835, 0.629, 0.701)  6.89
Eu (0.165, 0.371, 0.299)  6.89

Computed properties:
Total magnetization, μB/f.u.: 7.1
Total DFT energy (no corrections), eV/atom: -37.847



Energy relative to the elements (computed, eV/atom): 0.11, 1.06, 0.89, -0.40